# RbCrGe2Ru

A relaxed RbCrGe2Ru crystal (GGA-PBE, the Alexandria database).

Output
**Magnetization**: 6.5 μB per formula unit
**Formation enthalpy at 0 K**: 2.589 eV/atom
**DOS(E_F)**: 1.391 states/eV per atom
**Volume**: 150 Å³/cell

Cell: 5.4469 5.0432 5.4469 Å, 90.00 90.00 90.00°
With the nearest neighbours (Å) after each atom.
Fractional positions:
Ru: 0.5000 0.5000 0.5000  8 Ge 3.71, 4 Cr 3.85
Ge: 0.0000 0.0000 0.5000  2 Rb 2.72
Ge: 0.5000 0.0000 0.0000  2 Rb 2.72
Rb: 0.0000 0.0000 0.0000  2 Cr 2.52, 4 Ge 2.72
Cr: 0.0000 0.5000 0.0000  2 Rb 2.52